Entry from Alexandria: crystalline Sr2CdIrPb at its relaxed geometry (PBE-GGA).

The space group is P4/mmm (No. 123) and the conventional cell measures 5.873, 5.873 and 5.193 Å, with angles of 90.00, 90.00 and 90.00 degrees. Symmetry generates all atoms from Sr at (0.000, 0.500, 0.000), Cd at (0.000, 0.000, 0.500), Ir at (0.500, 0.500, 0.000) and Pb at (0.500, 0.500, 0.500).

The calculation puts the energy of formation at -195 meV per atom. As for the calculated volume: 179 Å³ per cell. The crystal system is tetragonal. The density of states at the Fermi level is 2.53 states/eV/cell. The total DFT energy (no corrections) comes out at -3.56 eV/atom.